Crystalline KCeSnWO6 at its relaxed geometry. Source: Alexandria, functional GGA+U.

The structure in extended XYZ format:
```
10
Lattice="0.000 4.254 4.254 4.254 0.000 4.254 4.254 4.254 0.000" Properties=species:S:1:pos:R:3 pbc="T T T"
O 4.254 2.294 4.254
O 4.254 6.213 4.254
O 4.254 4.254 6.213
O 2.294 4.254 4.254
O 6.213 4.254 4.254
O 4.254 4.254 2.294
Ce 0.000 0.000 0.000
K 2.127 2.127 2.127
Sn 6.380 6.380 6.380
W 4.254 4.254 4.254
```

Computed properties:
Energy above the lowest structure with this stoichiometry   26 meV/atom
N(E_F)   4.09 states/eV/f.u.
Total magnetization   1.03 μB per formula unit
Crystal system   cubic